# 1
Compound: NdPd2Au3
Source: the Alexandria database
Functional: GGA-PBE
Structure: relaxed

The structure belongs to space group Cmcm (No. 63); the cell edges are 9.295, 9.292 and 5.592 Å and the angles 90.00°, 90.00° and 90.00°. Symmetry generates all atoms from Nd at (0.000, 0.166, 0.250), Pd at (0.238, 0.000, 0.000), Au at (0.000, 0.498, 0.250) and Au at (0.164, 0.242, 0.750).

The crystal system is orthorhombic. As for the uncorrected energy: -0.17072 Ha/atom.

=====

# 2
Compound: Nd3Pd5Au
Source: the Alexandria database
Functional: GGA-PBE
Structure: relaxed

The structure belongs to space group I4/mcm (No. 140); the cell edges are 8.583, 8.583 and 11.130 Å and the angles 90.00°, 90.00° and 90.00°. Symmetry generates all atoms from Nd at (0.000, 0.000, 0.250), Nd at (0.129, 0.371, 0.000), Pd at (0.000, 0.000, 0.000), Pd at (0.194, 0.306, 0.361) and Au at (0.000, 0.500, 0.250).

The crystal system is tetragonal. As for the uncorrected energy: -0.19547 Ha/atom.

=====

# 3
Compound: Nd3Pd4Au2
Source: the Alexandria database
Functional: GGA-PBE
Structure: relaxed

The structure belongs to space group C2/c (No. 15); the cell edges are 11.422, 10.366 and 7.205 Å and the angles 90.00°, 104.75° and 90.00°. Symmetry generates all atoms from Nd at (0.000, 0.089, 0.250), Nd at (0.143, 0.380, 0.637), Pd at (0.094, 0.350, 0.170), Pd at (0.183, 0.088, 0.602) and Au at (0.155, 0.157, 0.952).

The crystal system is monoclinic. The polymorph energy (0 for the lowest one) comes out at 0.0701 eV/atom.

=====

# 4
Compound: Nd5Pd2Au5
Source: the Alexandria database
Functional: GGA-PBE
Structure: relaxed

The structure belongs to space group C2/m (No. 12); the cell edges are 16.727, 4.163 and 11.638 Å and the angles 90.00°, 132.54° and 90.00°. Symmetry generates all atoms from Nd at (0.000, 0.000, 0.000), Nd at (0.101, 0.000, 0.405), Nd at (0.197, 0.000, 0.816), Pd at (0.131, 0.500, 0.253), Au at (0.000, 0.500, 0.500), Au at (0.079, 0.500, 0.859) and Au at (0.234, 0.500, 0.666).

The crystal system is monoclinic. As for the uncorrected energy: -0.18369 Ha/atom.

=====

# 5
Compound: NdPd6Au5
Source: the Alexandria database
Functional: GGA-PBE
Structure: relaxed

The structure belongs to space group Immm (No. 71); the cell edges are 4.328, 7.630 and 12.783 Å and the angles 90.00°, 90.00° and 90.00°. Symmetry generates all atoms from Nd at (0.000, 0.000, 0.000), Pd at (0.000, 0.236, 0.500), Pd at (0.000, 0.257, 0.169), Au at (0.000, 0.000, 0.330), Au at (0.000, 0.500, 0.000) and Au at (0.000, 0.500, 0.334).

The crystal system is orthorhombic. As for the uncorrected energy: -0.17188 Ha/atom.

=====

# 6
Compound: Nd2Pd5Au12
Source: the Alexandria database
Functional: GGA-PBE
Structure: relaxed

The structure belongs to space group R-3m (No. 166, hexagonal axes); the cell edges are 9.5402, 9.5402 and 14.0166 Å and the angles 90.00°, 90.00° and 120.00°. Symmetry generates all atoms from Nd at (0.0000, 0.0000, 0.1880), Pd at (0.0000, 0.0000, 0.3980), Pd at (0.0000, 0.5000, 0.0000), Au at (0.0000, 0.3029, 0.5000) and Au at (0.0017, 0.5008, 0.6518).

The crystal system is trigonal. As for the uncorrected energy: -0.15751 Ha/atom.

=====

# 7
Compound: Nd3Pd4Au
Source: the Alexandria database
Functional: GGA-PBE
Structure: relaxed

The structure belongs to space group Immm (No. 71); the cell edges are 4.005, 6.871 and 14.051 Å and the angles 90.00°, 90.00° and 90.00°. Symmetry generates all atoms from Nd at (0.000, 0.000, 0.000), Nd at (0.000, 0.500, 0.177), Pd at (0.000, 0.304, 0.371) and Au at (0.000, 0.000, 0.500).

The crystal system is orthorhombic. As for the uncorrected energy: -0.20053 Ha/atom.

=====

# 8
Compound: Nd2Pd6Au
Source: the Alexandria database
Functional: GGA-PBE
Structure: relaxed

The structure belongs to space group P-3m1 (No. 164); the cell edges are 5.7346, 5.7346 and 6.2151 Å and the angles 90.00°, 90.00° and 120.00°. Symmetry generates all atoms from Nd at (0.3333, 0.6667, 0.1727), Pd at (0.1751, 0.3503, 0.6720) and Au at (0.0000, 0.0000, 0.0000).

The crystal system is trigonal. The polymorph energy (0 for the lowest one) comes out at 0.0000 eV/atom.

=====

# 9
Compound: Nd2Pd4Au3
Source: the Alexandria database
Functional: GGA-PBE
Structure: relaxed

The structure belongs to space group C2/m (No. 12); the cell edges are 9.354, 4.347 and 8.971 Å and the angles 90.00°, 105.98° and 90.00°. Symmetry generates all atoms from Nd at (0.168, 0.000, 0.224), Pd at (0.002, 0.500, 0.336), Pd at (0.167, 0.000, 0.894), Au at (0.000, 0.500, 0.000) and Au at (0.157, 0.000, 0.558).

The crystal system is monoclinic. As for the uncorrected energy: -0.18713 Ha/atom.

=====

# 10
Compound: Nd2PdAu3
Source: the Alexandria database
Functional: GGA-PBE
Structure: relaxed

The structure belongs to space group Cm (No. 8); the cell edges are 10.453, 4.100 and 7.580 Å and the angles 90.00°, 121.87° and 90.00°. Symmetry generates all atoms from Nd at (0.000, 0.000, 0.000), Nd at (0.076, 0.000, 0.558), Pd at (0.389, 0.000, 0.626), Au at (0.188, 0.500, 0.932), Au at (0.203, 0.500, 0.361) and Au at (0.376, 0.000, 0.210).

The crystal system is monoclinic. The polymorph energy (0 for the lowest one) comes out at 0.0000 eV/atom.

=====

# 11
Compound: NdPd8Au3
Source: the Alexandria database
Functional: GGA-PBE
Structure: relaxed

The structure belongs to space group P3m1 (No. 156); the cell edges are 5.3088, 5.3088 and 8.6963 Å and the angles 90.00°, 90.00° and 120.00°. Symmetry generates all atoms from Nd at (0.0000, 0.0000, 0.0000), Pd at (0.1643, 0.3286, 0.6818), Pd at (0.3333, 0.6667, 0.4323), Pd at (0.3333, 0.6667, 0.9331), Pd at (0.5032, 0.0063, 0.1874), Au at (0.0000, 0.0000, 0.3888), Au at (0.6667, 0.3333, 0.4956) and Au at (0.6667, 0.3333, 0.8612).

The crystal system is trigonal. As for the uncorrected energy: -0.17956 Ha/atom.

=====

# 12
Compound: Nd6PdAu2
Source: the Alexandria database
Functional: GGA-PBE
Structure: relaxed

The structure belongs to space group P2_1/c (No. 14); the cell edges are 6.814, 7.612 and 12.266 Å and the angles 90.00°, 119.90° and 90.00°. Symmetry generates all atoms from Nd at (0.098, 0.199, 0.433), Nd at (0.264, 0.669, 0.434), Nd at (0.391, 0.036, 0.239), Pd at (0.500, 0.000, 0.500) and Au at (0.167, 0.112, 0.730).

The crystal system is monoclinic. As for the uncorrected energy: -0.18160 Ha/atom.

=====

Number 1: total magnetization 0.0 μB/cell. Number 2: total magnetization 0.0 μB/cell. Number 3: total magnetization 0.0 μB/cell. Number 4: total magnetization 0.0 μB/cell. Number 5: total magnetization 0.0 μB/cell. Number 6: total magnetization 0.0 μB/cell. Number 7: total magnetization 0.0 μB/cell. Number 8: total magnetization 0.0 μB/cell. Number 9: total magnetization 0.0 μB/cell. Number 10: total magnetization 0.0 μB/cell. Number 11: total magnetization 0.0 μB/cell. Number 12: total magnetization 0.0 μB/cell.